1.
The following is a DFT calculation (GGA-PBE) of a geometry-optimized CaBePd2 structure.

## Properties
DFT total energy, eV per atom: -4.238
Total magnetic moment, μB per atom: 0.000
ρ, Mg/m³: 4.98

a b c (Å): 8.059 8.059 8.059
angles (deg): 144.61 144.61 50.91
Atoms (fractional coordinates):
Ca: 0.000 0.000 0.000
Ca: 0.750 0.250 0.500
Be: 0.250 0.750 0.500
Be: 0.500 0.500 0.000
Pd: 0.299 0.625 0.174
Pd: 0.375 0.549 0.674
Pd: 0.451 0.125 0.826
Pd: 0.875 0.701 0.326

2.
The following is a DFT calculation (GGA-PBE) of a geometry-optimized MnMo2W structure.

## Properties
DFT total energy, eV per atom: -10.561
Total magnetic moment, μB per atom: 0.000
ρ, Mg/m³: 11.89

a b c (Å): 9.312 9.312 9.312
angles (deg): 16.99 16.99 16.99
Atoms (fractional coordinates):
Mn: 0.000 0.000 0.000
Mo: 0.499 0.499 0.499
Mo: 0.743 0.743 0.743
W: 0.256 0.256 0.256

3.
The following is a DFT calculation (GGA-PBE) of a geometry-optimized CaY2P structure.

## Properties
DFT total energy, eV per atom: -5.571
Total magnetic moment, μB per atom: 0.000
ρ, Mg/m³: 3.73

a b c (Å): 6.822 6.822 6.822
angles (deg): 148.76 137.40 53.77
Atoms (fractional coordinates):
Ca: 0.000 0.000 0.000
Y: 0.318 0.818 0.500
Y: 0.630 0.630 0.000
P: 0.808 0.308 0.500

4.
The following is a DFT calculation (GGA-PBE) of a geometry-optimized Tl2HgH2 structure.

## Properties
DFT total energy, eV per atom: -2.098
Total magnetic moment, μB per atom: 0.000
ρ, Mg/m³: 9.36

a b c (Å): 7.835 7.835 7.835
angles (deg): 151.62 151.62 40.57
Atoms (fractional coordinates):
Tl: 0.157 0.157 0.000
Tl: 0.843 0.843 0.000
Hg: 0.500 0.500 0.000
H: 0.250 0.750 0.500
H: 0.750 0.250 0.500

5.
The following is a DFT calculation (GGA-PBE) of a geometry-optimized Pa3Co3Os structure.

## Properties
DFT total energy, eV per atom: -9.095
Total magnetic moment, μB per atom: 0.000
ρ, Mg/m³: 14.01

a b c (Å): 4.768 4.768 14.611
angles (deg): 90.00 90.00 130.84
Atoms (fractional coordinates):
Pa: 0.045 0.955 0.750
Pa: 0.330 0.670 0.592
Pa: 0.330 0.670 0.908
Pa: 0.670 0.330 0.092
Pa: 0.670 0.330 0.408
Pa: 0.955 0.045 0.250
Co: 0.214 0.786 0.250
Co: 0.382 0.618 0.113
Co: 0.382 0.618 0.387
Co: 0.618 0.382 0.613
Co: 0.618 0.382 0.887
Co: 0.786 0.214 0.750
Os: 0.000 0.000 0.000
Os: 0.000 0.000 0.500

6.
The following is a DFT calculation (GGA-PBE) of a geometry-optimized Ba3La2HoTe6 structure.

## Properties
DFT total energy, eV per atom: -4.858
Total magnetic moment, μB per atom: 0.000
ρ, Mg/m³: 6.00
Formation energy without anion corrections, meV per atom: -1603.4

a b c (Å): 8.103 8.103 8.331
angles (deg): 99.35 99.35 119.94
Atoms (fractional coordinates):
Ba: 0.000 0.000 0.000
Ba: 0.329 0.671 0.000
Ba: 0.671 0.329 0.000
La: 0.166 0.834 0.500
La: 0.834 0.166 0.500
Ho: 0.500 0.500 0.500
Te: 0.104 0.427 0.278
Te: 0.254 0.254 0.726
Te: 0.427 0.104 0.278
Te: 0.573 0.896 0.722
Te: 0.746 0.746 0.274
Te: 0.896 0.573 0.722

7.
The following is a DFT calculation (GGA-PBE) of a geometry-optimized Ca3Sn2Ir2 structure.

## Properties
DFT total energy, eV per atom: -5.150
Total magnetic moment, μB per atom: 0.000
ρ, Mg/m³: 7.20

a b c (Å): 5.922 8.153 14.183
angles (deg): 90.00 90.00 90.00
Atoms (fractional coordinates):
Ca: 0.116 0.247 0.250
Ca: 0.116 0.253 0.750
Ca: 0.346 0.605 0.593
Ca: 0.346 0.605 0.907
Ca: 0.346 0.895 0.093
Ca: 0.346 0.895 0.407
Ca: 0.654 0.105 0.593
Ca: 0.654 0.105 0.907
Ca: 0.654 0.395 0.093
Ca: 0.654 0.395 0.407
Ca: 0.884 0.747 0.250
Ca: 0.884 0.753 0.750
Sn: 0.133 0.250 0.000
Sn: 0.133 0.250 0.500
Sn: 0.375 0.592 0.250
Sn: 0.375 0.908 0.750
Sn: 0.625 0.092 0.250
Sn: 0.625 0.408 0.750
Sn: 0.867 0.750 0.000
Sn: 0.867 0.750 0.500
Ir: 0.139 0.535 0.093
Ir: 0.139 0.535 0.407
Ir: 0.139 0.965 0.593
Ir: 0.139 0.965 0.907
Ir: 0.861 0.035 0.093
Ir: 0.861 0.035 0.407
Ir: 0.861 0.465 0.593
Ir: 0.861 0.465 0.907

8.
The following is a DFT calculation (GGA-PBE) of a geometry-optimized BeTeAsSe2 structure.

## Properties
DFT total energy, eV per atom: -3.370
Total magnetic moment, μB per atom: 0.000
ρ, Mg/m³: 6.12
Formation energy without anion corrections, meV per atom: 327.6

a b c (Å): 4.610 4.610 4.718
angles (deg): 90.00 90.00 90.00
Atoms (fractional coordinates):
Be: 0.000 0.000 0.000
Te: 0.500 0.500 0.500
As: 0.000 0.000 0.500
Se: 0.000 0.500 0.000
Se: 0.500 0.000 0.000

9.
The following is a DFT calculation (GGA-PBE) of a geometry-optimized TiRuN structure.

## Properties
DFT total energy, eV per atom: -9.151
Total magnetic moment, μB per atom: 0.000
ρ, Mg/m³: 7.64
Formation energy without anion corrections, meV per atom: -652.7

a b c (Å): 4.826 2.869 5.237
angles (deg): 90.00 102.45 90.00
Atoms (fractional coordinates):
Ti: 0.000 0.000 0.000
Ti: 0.262 0.000 0.542
Ru: 0.556 0.500 0.070
Ru: 0.751 0.500 0.565
N: 0.002 0.500 0.288
N: 0.182 0.500 0.805

10.
The following is a DFT calculation (GGA-PBE) of a geometry-optimized Ba2GePdRh structure.

## Properties
DFT total energy, eV per atom: -4.782
Total magnetic moment, μB per atom: 0.000
ρ, Mg/m³: 6.15

a b c (Å): 4.400 4.400 15.520
angles (deg): 90.00 90.00 90.00
Atoms (fractional coordinates):
Ba: 0.250 0.250 0.098
Ba: 0.250 0.250 0.676
Ba: 0.750 0.750 0.324
Ba: 0.750 0.750 0.902
Ge: 0.250 0.250 0.420
Ge: 0.750 0.750 0.580
Pd: 0.250 0.250 0.882
Pd: 0.750 0.750 0.118
Rh: 0.250 0.750 0.500
Rh: 0.750 0.250 0.500

11.
The following is a DFT calculation (GGA-PBE) of a geometry-optimized TbEuZnGe structure.

## Properties
DFT total energy, eV per atom: -5.679
Total magnetic moment, μB per atom: 1.854
ρ, Mg/m³: 7.75

a b c (Å): 5.142 5.142 5.142
angles (deg): 60.00 60.00 60.00
Atoms (fractional coordinates):
Tb: 0.000 0.000 0.000
Eu: 0.500 0.500 0.500
Zn: 0.250 0.250 0.250
Ge: 0.750 0.750 0.750

12.
The following is a DFT calculation (GGA-PBE) of a geometry-optimized YVAs2 structure.

## Properties
DFT total energy, eV per atom: -6.619
Total magnetic moment, μB per atom: 0.502
ρ, Mg/m³: 4.35

a b c (Å): 7.535 7.535 7.535
angles (deg): 133.52 133.52 67.84
Atoms (fractional coordinates):
Y: 0.000 0.000 0.000
Y: 0.750 0.250 0.500
V: 0.250 0.750 0.500
V: 0.500 0.500 0.000
As: 0.179 0.625 0.054
As: 0.375 0.429 0.554
As: 0.571 0.125 0.946
As: 0.875 0.821 0.446

13.
The following is a DFT calculation (GGA-PBE) of a geometry-optimized Ti4Tc2Os structure.

## Properties
DFT total energy, eV per atom: -9.376
Total magnetic moment, μB per atom: 0.000
ρ, Mg/m³: 8.30

a b c (Å): 5.316 5.316 5.316
angles (deg): 109.90 109.90 108.61
Atoms (fractional coordinates):
Ti: 0.000 0.000 0.500
Ti: 0.000 0.500 0.000
Ti: 0.500 0.000 0.000
Ti: 0.500 0.500 0.500
Tc: 0.000 0.500 0.500
Tc: 0.500 0.000 0.500
Os: 0.000 0.000 0.000

14.
The following is a DFT calculation (GGA-PBE) of a geometry-optimized AlVNi2H structure.

## Properties
DFT total energy, eV per atom: -5.787
Total magnetic moment, μB per atom: 0.458
ρ, Mg/m³: 6.28

a b c (Å): 3.718 3.718 3.752
angles (deg): 90.00 90.00 90.00
Atoms (fractional coordinates):
Al: 0.000 0.000 0.000
V: 0.500 0.500 0.000
Ni: 0.000 0.500 0.500
Ni: 0.500 0.000 0.500
H: 0.500 0.500 0.500

15.
The following is a DFT calculation (GGA-PBE) of a geometry-optimized LaCu3Hg structure.

## Properties
DFT total energy, eV per atom: -2.476
Total magnetic moment, μB per atom: 0.000
ρ, Mg/m³: 5.31

a b c (Å): 5.494 5.494 5.494
angles (deg): 90.00 90.00 90.00
Atoms (fractional coordinates):
La: 0.000 0.000 0.000
Cu: 0.000 0.000 0.500
Cu: 0.000 0.500 0.000
Cu: 0.500 0.000 0.000
Hg: 0.500 0.500 0.500

16.
The following is a DFT calculation (GGA-PBE) of a geometry-optimized RbLaAl2Sb structure.

## Properties
DFT total energy, eV per atom: -3.125
Total magnetic moment, μB per atom: 0.000
ρ, Mg/m³: 3.52
Formation energy without anion corrections, meV per atom: 375.3

a b c (Å): 5.591 5.591 6.040
angles (deg): 90.00 90.00 90.00
Atoms (fractional coordinates):
Rb: 0.000 0.000 0.000
La: 0.500 0.500 0.000
Al: 0.000 0.500 0.500
Al: 0.500 0.000 0.500
Sb: 0.500 0.500 0.500